# PBE-GGA Sm4TlPbC, relaxed
data_Sm4TlPbC
_chemical_formula_sum 'Sm16 Tl4 Pb4 C4'
_space_group_name_H-M_alt 'C m c m'
_space_group_IT_number 63
_space_group_name_Hall '-C 2c 2'
_cell_length_a 7.0699
_cell_length_b 16.1239
_cell_length_c 7.0675
_cell_angle_alpha 90.00
_cell_angle_beta 90.00
_cell_angle_gamma 90.00
loop_
_atom_site_label
_atom_site_fract_x
_atom_site_fract_y
_atom_site_fract_z
Sm1 0.0000 0.0879 0.2500
Sm2 0.0000 0.4106 0.2500
Sm3 0.2500 0.2500 0.0000
Tl1 0.0000 0.1133 0.7500
Pb1 0.0000 0.3884 0.7500
C1 0.0000 0.2489 0.2500
# Uncorrected energy, eV/atom: -5.25
# Total magnetic moment, μB per atom: 0.000
# Crystal system: orthorhombic
# Formation enthalpy at 0 K, eV/atom: -0.37